Below is a relaxed LaZr2Tl crystal, with properties calculated at the PBE level.

Crystal system: monoclinic

Lattice parameters (Å, degrees): 3.3587 5.4147 5.8710 90.00 96.25 90.00
Closest atoms and distances in Å follow each position.
Positions (direct):
La1 0.0000 0.0000 0.0000  4 Tl 3.22-3.54, 4 Zr 3.36, 2 La 3.36
Zr1 0.3181 0.5000 0.7348  2 Tl 3.13, 5 Zr 3.13-3.36, 2 La 3.36
Zr2 0.6819 0.5000 0.2652  2 Tl 3.13, 5 Zr 3.13-3.36, 2 La 3.36
Tl1 0.5000 0.0000 0.5000  4 Zr 3.13, 2 La 3.22, 2 Tl 3.36

Below is a relaxed Zn2InFe crystal, with properties calculated at the PBE level.

Crystal system: tetragonal

Lattice parameters (Å, degrees): 9.6950 9.6950 9.6950 156.68 156.68 33.22
Closest atoms and distances in Å follow each position.
Positions (direct):
Zn1 0.0831 0.6250 0.9581  2 Zn 2.55, 2 Fe 2.65, 2 In 2.77
Zn2 0.3750 0.3331 0.4581  2 Zn 2.55, 2 Fe 2.65, 2 In 2.77
Zn3 0.6669 0.1250 0.0419  2 Zn 2.55, 2 Fe 2.65, 2 In 2.77
Zn4 0.8750 0.9169 0.5419  2 Zn 2.55, 2 Fe 2.65, 2 In 2.77
In1 0.2500 0.7500 0.5000  4 Zn 2.77, 4 Fe 2.77
In2 0.5000 0.5000 0.0000  4 Zn 2.77, 4 Fe 2.77
Fe1 0.0000 0.0000 0.0000  4 Zn 2.65, 4 In 2.77
Fe2 0.7500 0.2500 0.5000  4 Zn 2.65, 4 In 2.77

| no. | ΔE_f (meV/atom) | magnetization (Bohr magnetons per cell) | N(E_F) (states/eV/atom) |
| --- | --- | --- | --- |
| 1 | 99.1 | 0.0 | 1.26 |
| 2 | 357.4 | 4.8 | 1.23 |